1.
First-principles (PBE-GGA) data for an optimized crystal structure of Fe3PRh, as listed in Alexandria.

abc: 4.5866 4.5866 4.5866
angles: 90.00 90.00 90.00
Space group Pm-3m (No. 221)
Inequivalent atoms, fractional coordinates:
Fe  0.0000  0.0000  0.5000 (multiplicity 3)
P  0.5000  0.5000  0.5000 (multiplicity 1)
Rh  0.0000  0.0000  0.0000 (multiplicity 1)

Summary:
- VASP energy (eV/cell) = -31.50
- M_tot (μB per atom) = 2.18

=====

2.
First-principles (PBE-GGA) data for an optimized crystal structure of Fe4PRh, as listed in Alexandria.

abc: 6.6891 6.6891 6.6891
angles: 90.00 90.00 90.00
Space group F-43m (No. 216)
Inequivalent atoms, fractional coordinates:
Fe  0.1246  0.1246  0.1246 (multiplicity 16)
P  0.2500  0.2500  0.7500 (multiplicity 4)
Rh  0.0000  0.0000  0.5000 (multiplicity 4)

Summary:
- VASP energy (eV/cell) = -180.74
- M_tot (μB per atom) = 1.63

=====

3.
First-principles (PBE-GGA) data for an optimized crystal structure of FeP2Rh, as listed in Alexandria.

abc: 3.1698 3.2763 9.9043
angles: 90.00 90.00 90.00
Space group Imm2 (No. 44)
Inequivalent atoms, fractional coordinates:
Fe  0.0000  0.0000  0.0000 (multiplicity 2)
P  0.0000  0.0000  0.4263 (multiplicity 2)
P  0.0000  0.5000  0.6557 (multiplicity 2)
Rh  0.0000  0.5000  0.2466 (multiplicity 2)

Summary:
- VASP energy (eV/cell) = -55.54
- M_tot (μB per atom) = 0.00

=====

4.
First-principles (PBE-GGA) data for an optimized crystal structure of FeP2Rh, as listed in Alexandria.

abc: 3.2248 3.2248 4.8481
angles: 90.00 90.00 90.00
Space group P4mm (No. 99)
Inequivalent atoms, fractional coordinates:
Fe  0.0000  0.0000  0.0000 (multiplicity 1)
P  0.0000  0.0000  0.4783 (multiplicity 1)
P  0.5000  0.5000  0.1314 (multiplicity 1)
Rh  0.5000  0.5000  0.6331 (multiplicity 1)

Summary:
- VASP energy (eV/cell) = -28.12
- M_tot (μB per atom) = 0.22

=====

5.
First-principles (PBE-GGA) data for an optimized crystal structure of Fe3PRh, as listed in Alexandria.

abc: 4.1605 4.1605 4.1605
angles: 90.00 90.00 90.00
Space group Pm-3m (No. 221)
Inequivalent atoms, fractional coordinates:
Fe  0.0000  0.0000  0.5000 (multiplicity 3)
P  0.0000  0.0000  0.0000 (multiplicity 1)
Rh  0.5000  0.5000  0.5000 (multiplicity 1)

Summary:
- VASP energy (eV/cell) = -36.29
- M_tot (μB per atom) = 1.64

=====

6.
First-principles (PBE-GGA) data for an optimized crystal structure of FeP2Rh, as listed in Alexandria.

abc: 5.9864 5.9864 5.9864
angles: 90.00 90.00 90.00
Space group F-43m (No. 216)
Inequivalent atoms, fractional coordinates:
Fe  0.0000  0.0000  0.0000 (multiplicity 4)
P  0.0000  0.0000  0.5000 (multiplicity 4)
P  0.2500  0.2500  0.2500 (multiplicity 4)
Rh  0.2500  0.2500  0.7500 (multiplicity 4)

Summary:
- VASP energy (eV/cell) = -102.06
- M_tot (μB per atom) = 0.75

=====

7.
First-principles (PBE-GGA) data for an optimized crystal structure of FeP2Rh, as listed in Alexandria.

abc: 2.8252 2.8252 21.3758
angles: 90.00 90.00 120.00
Space group R-3m (No. 166, hexagonal axes)
Inequivalent atoms, fractional coordinates:
Fe  0.0000  0.0000  0.0000 (multiplicity 3)
P  0.0000  0.0000  0.2561 (multiplicity 6)
Rh  0.0000  0.0000  0.5000 (multiplicity 3)

Summary:
- VASP energy (eV/cell) = -83.18
- M_tot (μB per atom) = 0.00

=====

8.
First-principles (PBE-GGA) data for an optimized crystal structure of FeP2Rh, as listed in Alexandria.

abc: 7.2227 3.2639 4.6305
angles: 90.00 104.16 90.00
Space group Cm (No. 8)
Inequivalent atoms, fractional coordinates:
Fe  0.0000  0.0000  0.0000 (multiplicity 2)
P  0.0155  0.5000  0.6634 (multiplicity 2)
P  0.3041  0.0000  0.0655 (multiplicity 2)
Rh  0.2728  0.5000  0.4227 (multiplicity 2)

Summary:
- VASP energy (eV/cell) = -56.30
- M_tot (μB per atom) = 0.00